(1)
## Be2NiCl (GGA-PBE)

Data for a geometry-optimized Be2NiCl structure.

POSCAR file:
```
Be2NiCl
1.0
-4.7179 -2.6449 0.6373
2.7073 -4.4381 1.6231
-1.1907 -2.3534 4.6882
Be Cl Ni
4 2 2
direct
0.8750 0.8807 0.7500
0.1193 0.6250 0.2500
0.3750 0.3693 0.7500
0.6307 0.1250 0.2500
0.2500 0.7500 0.5000
0.5000 0.5000 0.0000
0.7500 0.2500 0.5000
0.0000 0.0000 0.0000
```

For the total energy, the calculation gives -3.407 eV per atom. The formation energy without anion corrections comes out at 0.364 eV per atom. The energy above the most stable polymorph in this dataset comes out at 496 meV/atom. The density of states at the Fermi level is 6.58 states/eV per cell.

=====

(2)
## Sr2AcTl3 (GGA-PBE)

Data for a geometry-optimized Sr2AcTl3 structure.

POSCAR file:
```
Sr2AcTl3
1.0
-1.7247 -0.7326 -3.6191
2.9480 -2.6784 -0.8627
-6.8465 -9.1856 5.1222
Tl Sr Ac
3 2 1
direct
0.0000 0.0000 0.6702
0.0000 0.0000 0.0000
0.0000 0.0000 0.3298
0.5000 0.5000 0.8365
0.5000 0.5000 0.1635
0.5000 0.5000 0.5000
```

The value obtained for the formation energy is -0.4044 eV per atom. For the total energy, the calculation gives -2.833 eV per atom. The energy above the most stable polymorph in this dataset comes out at 5 meV/atom. The density of states at the Fermi level is 6.72 states/eV per cell.

=====

(3)
## Rb2In7Bi (GGA-PBE)

Data for a geometry-optimized Rb2In7Bi structure.

POSCAR file:
```
Rb2In7Bi
1.0
-4.9650 -0.5017 -1.3054
-0.2049 -4.5020 2.5095
-3.3946 6.0541 10.5839
Rb In Bi
2 7 1
direct
0.5000 0.0000 0.7473
0.0000 0.5000 0.2527
0.5000 0.0000 0.3717
0.0000 0.5000 0.6283
0.0000 0.0000 0.0000
0.0000 0.5000 0.8603
0.5000 0.0000 0.1397
0.0000 0.0000 0.5000
0.5000 0.5000 0.5000
0.5000 0.5000 0.0000
```

The value obtained for the formation energy is -0.1299 eV per atom. For the total energy, the calculation gives -2.628 eV per atom. The density of states at the Fermi level is 4.56 states/eV per cell.